The following is a DFT calculation (PBE) of a geometry-optimized AlSi2Tc structure.

Summary:
Crystal system: monoclinic
SG: Cm (8)
ΔE_f (raw): -0.136 eV/atom

Unit cell a=4.670 b=4.670 c=4.257 alpha=95.74 beta=95.74 gamma=37.55
Atoms (fractional coordinates):
Al  0.000  0.000  0.000
Si  0.250  0.250  0.769
Si  0.476  0.476  0.484
Tc  0.748  0.748  0.274